Entry 1:
Compound: Rb4Ac3NdSe8
Source: the Alexandria database
Functional: PBE
Structure: relaxed

abc: 9.1115 9.1115 24.1281
angles: 90.00 90.00 120.00
Space group R-3m (No. 166, hexagonal axes)
Inequivalent atoms, fractional coordinates:
Rb (0.0000, 0.0000, 0.0000) [3 per cell]
Rb (0.0000, 0.5000, 0.0000) [9 per cell]
Ac (0.0000, 0.5000, 0.5000) [9 per cell]
Nd (0.0000, 0.0000, 0.5000) [3 per cell]
Se (0.0000, 0.0000, 0.2364) [6 per cell]
Se (0.0099, 0.5050, 0.2348) [18 per cell]

Values from the calculation:
Uncorrected energy: -4.835 eV/atom
Formation energy without anion corrections: -1783 meV per atom

Entry 2:
Compound: Rb2AcNdSe4
Source: the Alexandria database
Functional: PBE
Structure: relaxed

abc: 7.793 4.495 8.445
angles: 90.00 107.85 90.00
Space group P2/m (No. 10)
Inequivalent atoms, fractional coordinates:
Rb (0.000, 0.000, 0.000) [1 per cell]
Rb (0.500, 0.500, 0.000) [1 per cell]
Ac (0.000, 0.500, 0.500) [1 per cell]
Nd (0.500, 0.000, 0.500) [1 per cell]
Se (0.246, 0.000, 0.706) [2 per cell]
Se (0.276, 0.500, 0.298) [2 per cell]

Values from the calculation:
Uncorrected energy: -4.857 eV/atom
Formation energy without anion corrections: -1764 meV per atom

Entry 3:
Compound: Rb3Ac2NdTe6
Source: the Alexandria database
Functional: PBE
Structure: relaxed

abc: 8.319 14.413 9.030
angles: 90.00 107.90 90.00
Space group C2/m (No. 12)
Inequivalent atoms, fractional coordinates:
Rb (0.000, 0.000, 0.000) [2 per cell]
Rb (0.000, 0.331, 0.000) [4 per cell]
Ac (0.000, 0.166, 0.500) [4 per cell]
Nd (0.000, 0.500, 0.500) [2 per cell]
Te (0.231, 0.339, 0.710) [8 per cell]
Te (0.248, 0.000, 0.710) [4 per cell]

Values from the calculation:
Uncorrected energy: -4.357 eV/atom
Formation energy without anion corrections: -1462 meV per atom

Calculated magnetic moment in order - 0.00; 0.00; 0.00 μB/cell